A plane-wave DFT calculation with GGA+U was carried out for an optimized crystal structure of FePtN2F.

Cell and atoms, written as POSCAR:
```
FePtN2F
1.0
3.944 0.000 0.000
0.000 3.944 0.000
0.000 0.000 3.714
N Fe Pt F
2 1 1 1
Direct
0.000 0.500 0.000
0.500 0.000 0.000
0.000 0.000 0.000
0.500 0.500 0.500
0.000 0.000 0.500
```

Values from the calculation:
The magnetic moment comes out at 3.791 μB per formula unit. The total DFT energy (no corrections) is -5.1197 eV/atom.